1.
Material: KSiIr2
Method: DFT, PBE
State: optimized geometry

**Total energy**: -5.12 eV per atom
**Formation energy without anion corrections**: 90.7 kJ/mol of atoms
**Volume**: 17.00 Å³ per atom

Geometry as CIF:
```
data_KSiIr2
_chemical_formula_sum 'K1 Si1 Ir2'
_cell_length_a 2.846
_cell_length_b 4.740
_cell_length_c 5.042
_cell_angle_alpha 90.00
_cell_angle_beta 90.00
_cell_angle_gamma 90.00
_symmetry_space_group_name_H-M 'P m m m'
_symmetry_Int_Tables_number 47
loop_
_symmetry_equiv_pos_as_xyz
'x,y,z'
'-x,-y,-z'
'-x,-y,z'
'x,y,-z'
'x,-y,-z'
'-x,y,z'
'-x,y,-z'
'x,-y,z'
loop_
_atom_site_label
_atom_site_type_symbol
_atom_site_fract_x
_atom_site_fract_y
_atom_site_fract_z
_atom_site_occupancy
K1 K 0.000 0.000 0.000 1
Si1 Si 0.500 0.000 0.500 1
Ir1 Ir 0.000 0.500 0.500 1
Ir2 Ir 0.500 0.500 0.000 1
```


2.
Material: Pm4Sm2Y2Mg
Method: DFT, PBE
State: optimized geometry

**Total energy**: -4.74 eV per atom
**Volume**: 32.80 Å³ per atom
**Formation energy**: 0.3 eV/f.u.

Geometry as CIF:
```
data_Pm4Sm2Y2Mg
_chemical_formula_sum 'Pm8 Sm4 Y4 Mg2'
_cell_length_a 11.727
_cell_length_b 5.380
_cell_length_c 10.492
_cell_angle_alpha 90.00
_cell_angle_beta 116.88
_cell_angle_gamma 90.00
_symmetry_space_group_name_H-M 'C 1 2/m 1'
_symmetry_Int_Tables_number 12
loop_
_symmetry_equiv_pos_as_xyz
'x,y,z'
'-x,-y,-z'
'-x,y,-z'
'x,-y,z'
'x+1/2,y+1/2,z'
'-x+1/2,-y+1/2,-z'
'-x+1/2,y+1/2,-z'
'x+1/2,-y+1/2,z'
loop_
_atom_site_label
_atom_site_type_symbol
_atom_site_fract_x
_atom_site_fract_y
_atom_site_fract_z
_atom_site_occupancy
Pm1 Pm 0.018 0.000 0.184 1
Pm2 Pm 0.142 0.500 0.702 1
Sm1 Sm 0.171 0.500 0.054 1
Y1 Y 0.197 0.500 0.395 1
Mg1 Mg 0.000 0.000 0.500 1
```


3.
Material: Ca3Mg2Zn
Method: DFT, PBE
State: optimized geometry

**Total energy**: -1.70 eV per atom
**Energy above the most stable polymorph in this dataset**: 0.170 eV per atom
**Volume**: 32.60 Å³ per atom
**Formation energy**: 0.3 eV/f.u.

Geometry as CIF:
```
data_Ca3Mg2Zn
_chemical_formula_sum 'Ca9 Mg6 Zn3'
_cell_length_a 7.2459
_cell_length_b 7.2459
_cell_length_c 12.9039
_cell_angle_alpha 90.00
_cell_angle_beta 90.00
_cell_angle_gamma 120.00
_symmetry_space_group_name_H-M 'R -3 m'
_symmetry_Int_Tables_number 166
_symmetry_space_group_name_Hall '-R 3 2"'
loop_
_atom_site_label
_atom_site_type_symbol
_atom_site_fract_x
_atom_site_fract_y
_atom_site_fract_z
_atom_site_occupancy
Ca1 Ca 0.0000 0.5000 0.0000 1
Mg1 Mg 0.0000 0.0000 0.1160 1
Zn1 Zn 0.0000 0.0000 0.5000 1
```


4.
Material: Ca4MgIn3
Method: DFT, PBE
State: optimized geometry

**Total energy**: -2.62 eV per atom
**Volume**: 28.94 Å³ per atom
**Formation energy**: -3.2 eV/f.u.

Geometry as CIF:
```
data_Ca4MgIn3
_chemical_formula_sum 'Ca12 Mg3 In9'
_cell_length_a 5.4682
_cell_length_b 5.4682
_cell_length_c 26.8197
_cell_angle_alpha 90.00
_cell_angle_beta 90.00
_cell_angle_gamma 120.00
_symmetry_space_group_name_H-M 'R -3 m'
_symmetry_Int_Tables_number 166
_symmetry_space_group_name_Hall '-R 3 2"'
loop_
_atom_site_label
_atom_site_type_symbol
_atom_site_fract_x
_atom_site_fract_y
_atom_site_fract_z
_atom_site_occupancy
Ca1 Ca 0.0000 0.0000 0.1228 1
Ca2 Ca 0.0000 0.0000 0.3731 1
Mg1 Mg 0.0000 0.0000 0.5000 1
In1 In 0.0000 0.0000 0.0000 1
In2 In 0.0000 0.0000 0.2463 1
```


5.
Material: Pr2ErTl2Ag2
Method: DFT, PBE
State: optimized geometry

**Total energy**: -3.69 eV per atom
**Volume**: 27.57 Å³ per atom
**Formation energy**: -1.3 eV/f.u.

Geometry as CIF:
```
data_Pr2ErTl2Ag2
_chemical_formula_sum 'Pr6 Er3 Tl6 Ag6'
_cell_length_a 4.8982
_cell_length_b 4.8982
_cell_length_c 27.8627
_cell_angle_alpha 90.00
_cell_angle_beta 90.00
_cell_angle_gamma 120.00
_symmetry_space_group_name_H-M 'R -3 m'
_symmetry_Int_Tables_number 166
_symmetry_space_group_name_Hall '-R 3 2"'
loop_
_atom_site_label
_atom_site_type_symbol
_atom_site_fract_x
_atom_site_fract_y
_atom_site_fract_z
_atom_site_occupancy
Pr1 Pr 0.0000 0.0000 0.1241 1
Er1 Er 0.0000 0.0000 0.0000 1
Tl1 Tl 0.0000 0.0000 0.2640 1
Ag1 Ag 0.0000 0.0000 0.3864 1
```


6.
Material: VCd2Sn
Method: DFT, PBE
State: optimized geometry

**Total energy**: -3.27 eV per atom
**Volume**: 23.07 Å³ per atom
**Formation energy**: 1.9 eV/f.u.

Geometry as CIF:
```
data_VCd2Sn
_chemical_formula_sum 'V4 Cd8 Sn4'
_cell_length_a 8.106
_cell_length_b 8.106
_cell_length_c 5.617
_cell_angle_alpha 90.00
_cell_angle_beta 90.00
_cell_angle_gamma 90.00
_symmetry_space_group_name_H-M 'I -4 2 d'
_symmetry_Int_Tables_number 122
_symmetry_space_group_name_Hall 'I -4 2bw'
loop_
_atom_site_label
_atom_site_type_symbol
_atom_site_fract_x
_atom_site_fract_y
_atom_site_fract_z
_atom_site_occupancy
V1 V 0.000 0.000 0.000 1
Cd1 Cd 0.235 0.750 0.125 1
Sn1 Sn 0.000 0.000 0.500 1
```


7.
Material: Tb2PmPaP4
Method: DFT, PBE
State: optimized geometry

**Total energy**: -7.17 eV per atom
**Volume**: 23.16 Å³ per atom
**Formation energy**: -12.2 eV/f.u.

Geometry as CIF:
```
data_Tb2PmPaP4
_chemical_formula_sum 'Tb2 Pm1 Pa1 P4'
_cell_length_a 6.962
_cell_length_b 4.038
_cell_length_c 6.992
_cell_angle_alpha 90.00
_cell_angle_beta 109.46
_cell_angle_gamma 90.00
_symmetry_space_group_name_H-M 'P 1 2/m 1'
_symmetry_Int_Tables_number 10
loop_
_symmetry_equiv_pos_as_xyz
'x,y,z'
'-x,-y,-z'
'-x,y,-z'
'x,-y,z'
loop_
_atom_site_label
_atom_site_type_symbol
_atom_site_fract_x
_atom_site_fract_y
_atom_site_fract_z
_atom_site_occupancy
Tb1 Tb 0.000 0.000 0.000 1
Tb2 Tb 0.000 0.500 0.500 1
Pm1 Pm 0.500 0.000 0.500 1
Pa1 Pa 0.500 0.500 0.000 1
P1 P 0.250 0.500 0.241 1
P2 P 0.253 0.000 0.757 1
```


8.
Material: SmHoSb
Method: DFT, PBE
State: optimized geometry

**Total energy**: -4.87 eV per atom
**Formation energy without anion corrections**: -38.7 kJ/mol of atoms
**Volume**: 30.02 Å³ per atom

Geometry as CIF:
```
data_SmHoSb
_chemical_formula_sum 'Sm4 Ho4 Sb4'
_cell_length_a 3.417
_cell_length_b 5.856
_cell_length_c 18.005
_cell_angle_alpha 90.00
_cell_angle_beta 90.00
_cell_angle_gamma 90.00
_symmetry_space_group_name_H-M 'I m m m'
_symmetry_Int_Tables_number 71
_symmetry_space_group_name_Hall '-I 2 2'
loop_
_atom_site_label
_atom_site_type_symbol
_atom_site_fract_x
_atom_site_fract_y
_atom_site_fract_z
_atom_site_occupancy
Sm1 Sm 0.000 0.000 0.170 1
Ho1 Ho 0.000 0.254 0.500 1
Sb1 Sb 0.000 0.000 0.344 1
```


9.
Material: Rb2NaEu
Method: DFT, PBE
State: optimized geometry

**Total energy**: -3.17 eV per atom
**Energy above the most stable polymorph in this dataset**: 0.037 eV per atom
**Volume**: 61.83 Å³ per atom
**Formation energy**: 0.8 eV/f.u.

Geometry as CIF:
```
data_Rb2NaEu
_chemical_formula_sum 'Rb6 Na3 Eu3'
_cell_length_a 4.3045
_cell_length_b 4.3045
_cell_length_c 46.2410
_cell_angle_alpha 90.00
_cell_angle_beta 90.00
_cell_angle_gamma 120.00
_symmetry_space_group_name_H-M 'R -3 m'
_symmetry_Int_Tables_number 166
_symmetry_space_group_name_Hall '-R 3 2"'
loop_
_atom_site_label
_atom_site_type_symbol
_atom_site_fract_x
_atom_site_fract_y
_atom_site_fract_z
_atom_site_occupancy
Rb1 Rb 0.0000 0.0000 0.0901 1
Na1 Na 0.0000 0.0000 0.5000 1
Eu1 Eu 0.0000 0.0000 0.0000 1
```


10.
Material: ZrHg2Ir
Method: DFT, PBE
State: optimized geometry

**Total energy**: -4.17 eV per atom
**Energy above the most stable polymorph in this dataset**: 0.517 eV per atom
**Volume**: 21.70 Å³ per atom
**Formation energy**: 1.3 eV/f.u.

Geometry as CIF:
```
data_ZrHg2Ir
_chemical_formula_sum 'Zr4 Hg8 Ir4'
_cell_length_a 8.010
_cell_length_b 8.010
_cell_length_c 5.411
_cell_angle_alpha 90.00
_cell_angle_beta 90.00
_cell_angle_gamma 90.00
_symmetry_space_group_name_H-M 'I -4 2 d'
_symmetry_Int_Tables_number 122
_symmetry_space_group_name_Hall 'I -4 2bw'
loop_
_atom_site_label
_atom_site_type_symbol
_atom_site_fract_x
_atom_site_fract_y
_atom_site_fract_z
_atom_site_occupancy
Zr1 Zr 0.000 0.000 0.000 1
Hg1 Hg 0.220 0.750 0.625 1
Ir1 Ir 0.000 0.000 0.500 1
```


11.
Material: CsBaNa
Method: DFT, PBE
State: optimized geometry

**Total energy**: -1.28 eV per atom
**Energy above the most stable polymorph in this dataset**: 0.000 eV per atom
**Volume**: 68.30 Å³ per atom
**Formation energy**: 0.3 eV/f.u.

Geometry as CIF:
```
data_CsBaNa
_chemical_formula_sum 'Cs2 Ba2 Na2'
_cell_length_a 4.678
_cell_length_b 4.678
_cell_length_c 18.724
_cell_angle_alpha 90.00
_cell_angle_beta 90.00
_cell_angle_gamma 90.00
_symmetry_space_group_name_H-M 'I 4 m m'
_symmetry_Int_Tables_number 107
_symmetry_space_group_name_Hall 'I 4 -2'
loop_
_atom_site_label
_atom_site_type_symbol
_atom_site_fract_x
_atom_site_fract_y
_atom_site_fract_z
_atom_site_occupancy
Cs1 Cs 0.000 0.000 0.000 1
Ba1 Ba 0.000 0.000 0.287 1
Na1 Na 0.000 0.000 0.659 1
```